(1)
## Tb2AsN (PBE)

Data for a relaxed Tb2AsN crystal.

Cell and atoms, written as POSCAR:
```
Tb2AsN
1.0
-0.293 -1.033 -3.592
2.997 -1.331 -1.818
-0.632 -6.760 0.039
Tb N As
2 1 1
Cartesian
0.458 -2.516 -1.270
1.614 -6.608 -4.101
1.036 -4.562 -2.686
0.000 0.000 0.000
```

Values from the calculation:
Its energy relative to the elements, uncorrected is -1.409 eV per atom. As for the energy above the lowest structure with this stoichiometry: 0.000 eV per atom. Its total magnetization is 0.00 μB/cell.


(2)
## NiOsRh2 (PBE)

Data for a relaxed NiOsRh2 crystal.

Cell and atoms, written as POSCAR:
```
NiOsRh2
1.0
-0.393 3.341 1.705
-1.993 0.629 -1.693
-5.525 -1.506 1.677
Rh Os Ni
2 1 1
Cartesian
-5.485 -1.482 1.639
-2.124 1.425 0.889
-5.808 1.027 0.820
-3.779 -0.451 0.012
```

Values from the calculation:
As for the energy above the lowest structure with this stoichiometry: 0.039 eV per atom. Its total magnetization is 0.00 μB/cell. The formation energy from the elements is 0.076 eV/atom.


(3)
## Mn3NiRu (PBE)

Data for a relaxed Mn3NiRu crystal.

Cell and atoms, written as POSCAR:
```
Mn3NiRu
1.0
4.628 0.000 0.000
0.000 4.628 0.000
0.000 0.000 4.628
Ru Mn Ni
1 3 1
Cartesian
0.000 0.000 0.000
0.000 0.000 2.314
2.314 0.000 0.000
0.000 2.314 0.000
2.314 2.314 2.314
```

Values from the calculation:
As for the energy above the lowest structure with this stoichiometry: 0.000 eV per atom. Its total magnetization is 12.06 μB/cell. The formation energy from the elements is 1.400 eV/atom.


(4)
## Ba2SiMo (PBE)

Data for a relaxed Ba2SiMo crystal.

Cell and atoms, written as POSCAR:
```
Ba2SiMo
1.0
-5.405 -2.449 -2.865
-0.384 -6.542 -0.698
0.626 4.962 4.292
Mo Si Ba
1 1 2
Cartesian
-3.300 -5.126 -2.031
-3.527 -0.510 0.013
-5.586 -8.676 -3.438
-1.434 -3.204 0.840
```

Values from the calculation:
Its energy relative to the elements, uncorrected is 0.338 eV per atom. Its total magnetization is 1.11 μB/cell.


(5)
## InPI2N (PBE)

Data for a relaxed InPI2N crystal.

Cell and atoms, written as POSCAR:
```
InPI2N
1.0
6.122 0.000 0.000
0.000 6.122 0.000
0.000 0.000 4.112
In I N P
1 2 1 1
Cartesian
0.000 0.000 0.000
3.061 0.000 0.000
0.000 3.061 0.000
0.000 0.000 2.056
3.061 3.061 2.056
```

Values from the calculation:
Its energy relative to the elements, uncorrected is 1.193 eV per atom. As for the energy above the lowest structure with this stoichiometry: 0.886 eV per atom. Its total magnetization is 2.01 μB/cell.


(6)
## KLaRu2 (PBE)

Data for a relaxed KLaRu2 crystal.

Cell and atoms, written as POSCAR:
```
KLaRu2
1.0
-3.121 -3.599 -1.383
1.051 -2.505 4.150
-8.258 1.461 5.938
Ru K La
4 2 2
Cartesian
-4.262 -4.493 2.814
-4.540 -2.955 0.848
-8.834 -2.268 3.598
-7.191 -0.667 4.618
-4.121 -2.048 5.736
-1.035 -3.052 1.384
0.000 0.000 0.000
-6.207 -2.596 2.969
```

Values from the calculation:
As for the energy above the lowest structure with this stoichiometry: 0.599 eV per atom. Its total magnetization is 0.00 μB/cell. The formation energy from the elements is 0.885 eV/atom.


(7)
## Cs8HAu3Br3 (PBE)

Data for a relaxed Cs8HAu3Br3 crystal.

Cell and atoms, written as POSCAR:
```
Cs8HAu3Br3
1.0
-0.524 10.227 -1.458
-8.300 -5.177 3.362
8.159 1.309 6.251
H Br Cs Au
1 3 8 3
Cartesian
4.080 0.655 3.125
0.000 0.000 0.000
-4.150 -2.588 1.681
-4.412 2.525 0.952
5.857 3.334 4.259
-6.241 -2.457 4.677
2.009 0.932 5.814
1.572 6.060 5.254
-2.673 5.428 2.341
5.577 8.817 3.477
-6.522 3.026 3.896
-2.236 0.299 2.901
-0.332 3.180 4.077
3.818 5.768 2.396
-0.070 -1.934 4.806
```

Values from the calculation:
Its total magnetization is 0.60 μB/cell. The value obtained for the calculated total energy is -2.51 eV per atom.


(8)
## ScTiAlIn (PBE)

Data for a relaxed ScTiAlIn crystal.

Cell and atoms, written as POSCAR:
```
ScTiAlIn
1.0
-1.778 -4.384 -0.693
2.291 -3.813 1.752
-1.865 -2.431 3.671
Sc Al Ti In
1 1 1 1
Cartesian
-1.014 -7.971 3.547
0.000 0.000 0.000
-0.338 -2.657 1.182
-0.676 -5.314 2.365
```

Values from the calculation:
Its total magnetization is 0.83 μB/cell. The formation energy from the elements is -0.221 eV/atom.


(9)
## Sr2NdSnO6 (PBE)

Data for a relaxed Sr2NdSnO6 crystal.

Cell and atoms, written as POSCAR:
```
Sr2NdSnO6
1.0
-5.164 -0.909 2.890
1.362 -5.956 0.559
3.909 1.588 7.395
O Sr Sn Nd
12 4 2 2
Cartesian
-1.004 -1.382 6.287
-2.972 -3.680 4.623
2.128 -4.892 7.106
-0.769 -4.626 6.777
3.079 -1.597 6.221
-0.447 -1.415 1.115
1.112 -3.895 4.558
0.877 -0.651 4.067
-2.020 -0.385 3.738
0.555 -3.862 9.729
-0.292 -4.312 1.573
0.399 -0.965 9.271
2.199 -5.294 2.437
-0.910 -2.747 3.492
-2.091 0.018 8.407
1.017 -2.530 7.352
0.681 -2.978 0.280
-0.627 0.339 5.143
2.636 -2.184 3.977
-2.582 -0.455 1.445
```

Values from the calculation:
Its energy relative to the elements, uncorrected is -2.430 eV per atom. Its total magnetization is 2.21 μB/cell.


(10)
## TbYHo2Er (PBE)

Data for a relaxed TbYHo2Er crystal.

Cell and atoms, written as POSCAR:
```
TbYHo2Er
1.0
-4.905 3.194 4.153
-5.796 -5.252 -2.807
4.125 -0.989 5.633
Ho Tb Y Er
4 2 2 2
Cartesian
-4.006 -3.630 -1.940
-1.790 -1.622 -0.867
-6.458 -2.033 0.136
-4.243 -0.025 1.209
-3.588 -3.407 1.482
-2.988 0.360 5.496
-6.011 -1.899 3.663
-0.566 -1.148 3.316
-2.924 -5.363 3.771
-3.652 2.316 3.207
```

Values from the calculation:
Its total magnetization is 0.00 μB/cell. The formation energy from the elements is 0.396 eV/atom.


(11)
## Tb2ZrIn (PBE)

Data for a relaxed Tb2ZrIn crystal.

Cell and atoms, written as POSCAR:
```
Tb2ZrIn
1.0
-0.402 -3.389 0.121
3.034 -0.304 1.537
-4.130 0.787 8.307
In Zr Tb
1 1 2
Cartesian
1.316 -1.847 0.829
-0.749 -1.453 4.983
-1.018 0.194 2.048
-3.112 0.593 6.259
```

Values from the calculation:
As for the energy above the lowest structure with this stoichiometry: 0.017 eV per atom. Its total magnetization is 0.00 μB/cell. The formation energy from the elements is -0.178 eV/atom.


(12)
## MnCuMoSe2 (PBE)

Data for a relaxed MnCuMoSe2 crystal.

Cell and atoms, written as POSCAR:
```
MnCuMoSe2
1.0
4.860 0.000 0.000
0.000 4.917 0.000
0.000 0.000 4.860
Se Mn Cu Mo
2 1 1 1
Cartesian
2.430 0.000 0.000
0.000 0.000 2.430
0.000 2.458 0.000
2.430 2.458 2.430
0.000 0.000 0.000
```

Values from the calculation:
Its energy relative to the elements, uncorrected is 0.747 eV per atom. Its total magnetization is 3.44 μB/cell.